No. 1
7
Lattice="-0.2564 0.0443 -3.9899 5.9649 -2.8053 -2.2459 -0.8753 -6.8570 -0.1349" Properties=species:S:1:pos:R:3 comment="In2Ga2Hg3 (GGA-PBE, optimized geometry)" vol_a3_per_cell=177.0 formation_energy_kj_per_mol_atoms=4.5 spacegroup="P-1, No. 2" pbc="T T T"
Hg 3.1436 -3.4721 -4.1999
In 1.1795 -2.1599 -2.0795
Ga 4.5743 -5.2517 -2.3049
Ga 0.2590 -4.3664 -4.0658
Hg 1.6896 -6.1460 -2.1708
Hg 0.0000 0.0000 0.0000
In 3.6537 -7.4581 -4.2912

---

No. 2
30
Lattice="-2.2120 3.4563 9.6522 2.6086 -5.7687 8.3619 7.7354 3.1553 6.3413" Properties=species:S:1:pos:R:3 comment="In6GaHg23 (GGA-PBE, optimized geometry)" vol_a3_per_cell=815.8 formation_energy_kj_per_mol_atoms=2.2 spacegroup="Fm-3m, No. 225" pbc="T T T"
Hg 1.9860 2.0118 13.9237
In 3.3058 -2.8072 10.1875
Hg 3.8677 1.5776 3.1706
Hg 7.0350 0.7292 21.0699
Hg 5.0622 0.5247 15.1613
Hg 2.2980 -2.5422 7.1354
Hg 2.7617 3.3058 7.9968
Hg -1.1060 1.7282 4.8261
Hg 4.3480 -2.5084 13.2915
In 5.9799 1.8474 9.1335
Hg 5.1720 -1.3067 7.3516
In 7.3405 -1.1615 13.4950
Hg 6.8602 1.8643 12.3014
Hg 0.1983 -1.1562 9.0071
Hg 4.6584 1.5664 6.2051
Ga 4.0660 0.4215 12.1777
In 0.7915 2.0044 10.8605
Hg 1.0970 0.1137 3.2856
In 4.8262 3.6502 14.1680
Hg 3.0698 0.3182 9.1942
In 2.1521 -1.0045 15.2219
Hg 8.0534 -0.8621 16.6260
Hg 5.8340 3.3851 17.2201
Hg 0.0000 0.0000 0.0000
Hg 1.2719 -1.0214 12.0541
Hg 3.7840 3.3513 11.0640
Hg 0.0786 1.7050 7.7294
Hg 1.3043 -2.8844 4.1810
Hg 6.1460 -1.1689 10.4317
Hg 3.4736 -0.7235 18.1504

---

No. 3
9
Lattice="5.6102 -0.2309 -0.2493 -3.0592 6.6530 -0.5448 -0.3214 0.4968 6.1904" Properties=species:S:1:pos:R:3 comment="In2Ga2Hg5 (GGA-PBE, optimized geometry)" vol_a3_per_cell=228.0 formation_energy_kj_per_mol_atoms=3.5 spacegroup="P-1, No. 2" pbc="T T T"
Hg -0.4719 4.6453 1.3324
Ga 2.5103 3.7533 -0.0255
Hg 0.0000 0.0000 0.0000
Ga -0.2807 3.1657 5.4218
In -0.5268 5.8772 4.2195
Hg 2.2883 5.0980 2.6659
Hg 2.7015 2.2737 4.0639
In 2.7563 1.0418 1.1768
Hg -0.0587 1.8209 2.7303

---

No. 4
12
Lattice="1.6463 1.4585 -7.6770 -1.0238 -7.4767 2.6124 -7.1354 1.8479 3.0733" Properties=species:S:1:pos:R:3 comment="In3GaHg8 (GGA-PBE, optimized geometry)" vol_a3_per_cell=355.7 formation_energy_kj_per_mol_atoms=9.1 spacegroup="I-42m, No. 121" pbc="T T T"
Hg 0.4004 0.5106 -5.0193
Hg -5.1518 -3.3880 0.2291
Ga 0.0000 0.0000 0.0000
In -1.7285 -4.4163 -1.1109
In -4.0796 -2.8144 2.8429
Hg -2.5796 -1.6911 0.0081
In -4.7843 0.2460 -0.8804
Hg -7.0838 -3.0316 4.4160
Hg -1.0007 -0.5337 -2.4715
Hg -5.8326 -0.5390 3.0870
Hg -2.6869 -5.3384 2.8498
Hg -5.4090 -5.5869 4.2897

---

no.,Fermi-level density of states (states/eV/atom)
1,0.43
2,0.39
3,0.28
4,0.44